[1]
Below is a geometry-optimized HgTe3Ru structure, with properties calculated at the PBE level.

Structure (POSCAR):
```
HgTe3Ru
1.0
5.265 0.000 0.000
0.000 5.265 0.000
0.000 0.000 5.265
Hg Te Ru
1 3 1
direct
0.000 0.000 0.000 Hg
0.000 0.500 0.500 Te
0.500 0.000 0.500 Te
0.500 0.500 0.000 Te
0.500 0.500 0.500 Ru
```

Summary:
The value obtained for the uncorrected formation energy is 0.424 eV per atom. Its space-group type is Pm-3m, No. 221.

=====

[2]
Below is a geometry-optimized Rb2SnSb2Au6 structure, with properties calculated at the PBE level.

Structure (POSCAR):
```
Rb2SnSb2Au6
1.0
6.096 -3.902 0.000
6.096 3.902 0.000
-2.237 0.000 7.376
Rb Sn Sb Au
2 1 2 6
direct
0.233 0.233 0.239 Rb
0.767 0.767 0.761 Rb
0.500 0.500 0.000 Sn
0.058 0.058 0.692 Sb
0.942 0.942 0.308 Sb
0.284 0.284 0.763 Au
0.306 0.656 0.675 Au
0.344 0.694 0.325 Au
0.656 0.306 0.675 Au
0.694 0.344 0.325 Au
0.716 0.716 0.237 Au
```

Summary:
The value obtained for the uncorrected formation energy is -0.197 eV per atom. Its space-group type is C2/m, No. 12.

=====

[3]
Below is a geometry-optimized PuSc2Pd structure, with properties calculated at the PBE level.

Structure (POSCAR):
```
PuSc2Pd
1.0
1.640 0.947 9.544
-1.640 0.947 9.544
0.000 -1.893 9.544
Pu Sc Pd
1 2 1
direct
0.000 0.000 0.000 Pu
0.239 0.239 0.239 Sc
0.430 0.430 0.430 Sc
0.835 0.835 0.835 Pd
```

Summary:
The formation energy is -19.6 kJ/mol of atoms. Its space-group type is R3m, No. 160.

=====

[4]
Below is a geometry-optimized CuNi2W structure, with properties calculated at the PBE level.

Structure (POSCAR):
```
CuNi2W
1.0
-3.266 3.266 2.527
3.266 -3.266 2.527
3.266 3.266 -2.527
Cu Ni W
2 4 2
direct
0.000 0.000 0.000 Cu
0.750 0.250 0.500 Cu
0.121 0.125 0.496 Ni
0.375 0.879 0.004 Ni
0.629 0.625 0.504 Ni
0.875 0.371 0.996 Ni
0.250 0.750 0.500 W
0.500 0.500 0.000 W
```

Summary:
The formation energy is 61.1 kJ/mol of atoms. Its space-group type is I-42d, No. 122.

=====

[5]
Below is a geometry-optimized LiTaIr structure, with properties calculated at the PBE level.

Structure (POSCAR):
```
LiTaIr
1.0
0.000 2.996 2.996
2.996 0.000 2.996
2.996 2.996 0.000
Li Ta Ir
1 1 1
direct
0.000 0.000 0.000 Li
0.500 0.500 0.500 Ta
0.750 0.750 0.750 Ir
```

Summary:
The formation energy is 2.8 kJ/mol of atoms. Its space-group type is F-43m, No. 216.

=====

[6]
Below is a geometry-optimized ZrPb2 structure, with properties calculated at the PBE level.

Structure (POSCAR):
```
ZrPb2
1.0
6.244 -1.695 0.000
6.244 1.695 0.000
-1.432 0.000 7.529
Zr Pb
2 4
direct
0.039 0.039 0.303 Zr
0.961 0.961 0.697 Zr
0.324 0.324 0.377 Pb
0.370 0.370 0.982 Pb
0.630 0.630 0.018 Pb
0.676 0.676 0.623 Pb
```

Summary:
The formation energy is 2.9 kJ/mol of atoms. Its space-group type is C2/m, No. 12.

=====

[7]
Below is a geometry-optimized Pr3Ga2Ni3 structure, with properties calculated at the PBE level.

Structure (POSCAR):
```
Pr3Ga2Ni3
1.0
2.123 -5.534 0.000
2.123 5.534 0.000
0.000 0.000 14.006
Pr Ga Ni
6 4 6
direct
0.080 0.920 0.609 Pr
0.080 0.920 0.891 Pr
0.363 0.637 0.750 Pr
0.637 0.363 0.250 Pr
0.920 0.080 0.109 Pr
0.920 0.080 0.391 Pr
0.213 0.787 0.086 Ga
0.213 0.787 0.414 Ga
0.787 0.213 0.586 Ga
0.787 0.213 0.914 Ga
0.318 0.682 0.250 Ni
0.391 0.609 0.537 Ni
0.391 0.609 0.963 Ni
0.609 0.391 0.037 Ni
0.609 0.391 0.463 Ni
0.682 0.318 0.750 Ni
```

Summary:
The formation energy is -44.1 kJ/mol of atoms. Its space-group type is Cmcm, No. 63.

=====

[8]
Below is a geometry-optimized TmHfCuPd structure, with properties calculated at the PBE level.

Structure (POSCAR):
```
TmHfCuPd
1.0
0.000 3.365 3.365
3.365 0.000 3.365
3.365 3.365 0.000
Tm Hf Cu Pd
1 1 1 1
direct
0.000 0.000 0.000 Tm
0.500 0.500 0.500 Hf
0.250 0.250 0.250 Cu
0.750 0.750 0.750 Pd
```

Summary:
The formation energy is -41.8 kJ/mol of atoms. Its space-group type is F-43m, No. 216.

=====

Number 1: total energy -3.3770 eV/atom, magnetization 0.000 μB per formula unit. Number 2: total energy -3.2742 eV/atom, magnetization 0.000 μB per formula unit. Number 3: total energy -8.2500 eV/atom, magnetization 5.911 μB per formula unit. Number 4: total energy -6.5192 eV/atom, magnetization 0.000 μB per formula unit. Number 5: total energy -7.5136 eV/atom, magnetization 0.009 μB per formula unit. Number 6: total energy -5.2913 eV/atom, magnetization 0.000 μB per formula unit. Number 7: total energy -5.1737 eV/atom, magnetization 0.000 μB per formula unit. Number 8: total energy -6.3613 eV/atom, magnetization 0.000 μB per formula unit.